[1]
SrSbIr: relaxed, PBE.

The structure in CIF format:
```
data_SrSbIr
_cell_length_a 12.0969
_cell_length_b 4.5921
_cell_length_c 6.0317
_cell_angle_alpha 90.00
_cell_angle_beta 105.31
_cell_angle_gamma 90.00
_space_group_name_H-M_alt 'C 1 2/m 1'
_space_group_IT_number 12
_space_group_name_Hall '-C 2y'
loop_
_atom_site_label
_atom_site_type_symbol
_atom_site_fract_x
_atom_site_fract_y
_atom_site_fract_z
_atom_site_occupancy
Sr1 Sr 0.1226 0.0000 0.3069 1
Sb1 Sb 0.1036 0.5000 0.7827 1
Ir1 Ir 0.2056 0.0000 0.8594 1
```

Calculated values
- Final energy: -5.495 eV per atom
- Crystal system: monoclinic



[2]
Pb2NCl: relaxed, PBE.

The structure in CIF format:
```
data_Pb2NCl
_cell_length_a 7.2393
_cell_length_b 7.2393
_cell_length_c 7.9557
_cell_angle_alpha 90.00
_cell_angle_beta 90.00
_cell_angle_gamma 90.00
_space_group_name_H-M_alt 'I -4 2 d'
_space_group_IT_number 122
_space_group_name_Hall 'I -4 2bw'
loop_
_atom_site_label
_atom_site_type_symbol
_atom_site_fract_x
_atom_site_fract_y
_atom_site_fract_z
_atom_site_occupancy
Pb1 Pb 0.1656 0.2500 0.1250 1
N1 N 0.0000 0.0000 0.0000 1
Cl1 Cl 0.0000 0.0000 0.5000 1
```

Calculated values
- Final energy: -4.372 eV per atom
- Polymorph energy (0 for the lowest one): 0.0 meV per atom
- Crystal system: tetragonal



[3]
PtRhBr2: relaxed, PBE.

The structure in CIF format:
```
data_PtRhBr2
_cell_length_a 6.6307
_cell_length_b 6.6307
_cell_length_c 6.6307
_cell_angle_alpha 90.00
_cell_angle_beta 90.00
_cell_angle_gamma 90.00
_space_group_name_H-M_alt 'F m -3 m'
_space_group_IT_number 225
_space_group_name_Hall '-F 4 2 3'
loop_
_atom_site_label
_atom_site_type_symbol
_atom_site_fract_x
_atom_site_fract_y
_atom_site_fract_z
_atom_site_occupancy
Pt1 Pt 0.0000 0.0000 0.0000 1
Rh1 Rh 0.0000 0.0000 0.5000 1
Br1 Br 0.2500 0.2500 0.2500 1
```

Calculated values
- Final energy: -3.423 eV per atom
- Polymorph energy (0 for the lowest one): 794.3 meV per atom
- Crystal system: cubic



[4]
AlInN2O: relaxed, PBE.

The structure in CIF format:
```
data_AlInN2O
_cell_length_a 4.2235
_cell_length_b 4.2235
_cell_length_c 4.1303
_cell_angle_alpha 90.00
_cell_angle_beta 90.00
_cell_angle_gamma 90.00
_space_group_name_H-M_alt 'P 4/m m m'
_space_group_IT_number 123
_space_group_name_Hall '-P 4 2'
loop_
_atom_site_label
_atom_site_type_symbol
_atom_site_fract_x
_atom_site_fract_y
_atom_site_fract_z
_atom_site_occupancy
Al1 Al 0.0000 0.0000 0.0000 1
In1 In 0.5000 0.5000 0.5000 1
N1 N 0.0000 0.5000 0.5000 1
O1 O 0.5000 0.5000 0.0000 1
```

Calculated values
- Final energy: -4.425 eV per atom
- Crystal system: tetragonal



[5]
Tb2Zr2Sb2H: relaxed, PBE.

The structure in CIF format:
```
data_Tb2Zr2Sb2H
_cell_length_a 4.3150
_cell_length_b 4.3150
_cell_length_c 16.5507
_cell_angle_alpha 90.00
_cell_angle_beta 90.00
_cell_angle_gamma 90.00
_space_group_name_H-M_alt 'I 4/m m m'
_space_group_IT_number 139
_space_group_name_Hall '-I 4 2'
loop_
_atom_site_label
_atom_site_type_symbol
_atom_site_fract_x
_atom_site_fract_y
_atom_site_fract_z
_atom_site_occupancy
Tb1 Tb 0.0000 0.0000 0.1768 1
Zr1 Zr 0.0000 0.5000 0.0000 1
Sb1 Sb 0.0000 0.0000 0.3678 1
H1 H 0.0000 0.0000 0.0000 1
```

Calculated values
- Final energy: -6.252 eV per atom
- Crystal system: tetragonal



[6]
KMg2Sn2: relaxed, PBE.

The structure in CIF format:
```
data_KMg2Sn2
_cell_length_a 4.9060
_cell_length_b 4.9060
_cell_length_c 12.4047
_cell_angle_alpha 90.00
_cell_angle_beta 90.00
_cell_angle_gamma 90.00
_space_group_name_H-M_alt 'I 4/m m m'
_space_group_IT_number 139
_space_group_name_Hall '-I 4 2'
loop_
_atom_site_label
_atom_site_type_symbol
_atom_site_fract_x
_atom_site_fract_y
_atom_site_fract_z
_atom_site_occupancy
K1 K 0.0000 0.0000 0.0000 1
Mg1 Mg 0.0000 0.5000 0.2500 1
Sn1 Sn 0.0000 0.0000 0.3839 1
```

Calculated values
- Final energy: -2.694 eV per atom
- Polymorph energy (0 for the lowest one): 0.0 meV per atom
- Crystal system: tetragonal
- DFT formation energy: -0.236 eV/atom



[7]
Ca3YV: relaxed, PBE.

The structure in CIF format:
```
data_Ca3YV
_cell_length_a 5.7176
_cell_length_b 5.7176
_cell_length_c 5.7176
_cell_angle_alpha 90.00
_cell_angle_beta 90.00
_cell_angle_gamma 90.00
_space_group_name_H-M_alt 'P m -3 m'
_space_group_IT_number 221
_space_group_name_Hall '-P 4 2 3'
loop_
_atom_site_label
_atom_site_type_symbol
_atom_site_fract_x
_atom_site_fract_y
_atom_site_fract_z
_atom_site_occupancy
Ca1 Ca 0.0000 0.0000 0.5000 1
Y1 Y 0.5000 0.5000 0.5000 1
V1 V 0.0000 0.0000 0.0000 1
```

Calculated values
- Final energy: -3.607 eV per atom
- Polymorph energy (0 for the lowest one): 0.0 meV per atom
- Crystal system: cubic
- DFT formation energy: 0.711 eV/atom



[8]
Rb4Ge3B6O17: relaxed, PBE.

The structure in CIF format:
```
data_Rb4Ge3B6O17
_cell_length_a 12.0615
_cell_length_b 7.0640
_cell_length_c 20.6322
_cell_angle_alpha 90.00
_cell_angle_beta 103.90
_cell_angle_gamma 90.00
_space_group_name_H-M_alt 'C 1 c 1'
_space_group_IT_number 9
_space_group_name_Hall 'C -2yc'
loop_
_atom_site_label
_atom_site_type_symbol
_atom_site_fract_x
_atom_site_fract_y
_atom_site_fract_z
_atom_site_occupancy
Rb1 Rb 0.0000 0.1628 0.0000 1
Rb2 Rb 0.0921 0.2711 0.1853 1
Rb3 Rb 0.2910 0.2555 0.7354 1
Rb4 Rb 0.2979 0.2370 0.9209 1
Ge1 Ge 0.1198 0.2748 0.3812 1
Ge2 Ge 0.1828 0.3468 0.5399 1
Ge3 Ge 0.4668 0.2760 0.2116 1
B1 B 0.0216 0.0911 0.8403 1
B2 B 0.2896 0.3134 0.0981 1
B3 B 0.3193 0.3073 0.3341 1
B4 B 0.3276 0.0264 0.5843 1
B5 B 0.4665 0.0722 0.3271 1
B6 B 0.4768 0.2191 0.0810 1
O1 O 0.0345 0.0514 0.7709 1
O2 O 0.0469 0.2479 0.5322 1
O3 O 0.0474 0.2863 0.8612 1
O4 O 0.0483 0.2492 0.6509 1
O5 O 0.1009 0.0301 0.3889 1
O6 O 0.1848 0.4223 0.0704 1
O7 O 0.2044 0.3586 0.3268 1
O8 O 0.2115 0.3479 0.4588 1
O9 O 0.2500 0.1085 0.0912 1
O10 O 0.3018 0.2196 0.5888 1
O11 O 0.3276 0.3581 0.1716 1
O12 O 0.3466 0.1205 0.3314 1
O13 O 0.3792 0.3459 0.0633 1
O14 O 0.3975 0.4523 0.3415 1
O15 O 0.4350 0.0142 0.0767 1
O16 O 0.4658 0.0558 0.2537 1
O17 O 0.4860 0.1176 0.8573 1
```

Calculated values
- Final energy: -6.902 eV per atom
- Crystal system: monoclinic



[9]
SmEr3Zn: relaxed, PBE.

The structure in CIF format:
```
data_SmEr3Zn
_cell_length_a 11.4961
_cell_length_b 8.4152
_cell_length_c 7.6956
_cell_angle_alpha 90.00
_cell_angle_beta 125.22
_cell_angle_gamma 90.00
_space_group_name_H-M_alt 'C 1 2/m 1'
_space_group_IT_number 12
_space_group_name_Hall '-C 2y'
loop_
_atom_site_label
_atom_site_type_symbol
_atom_site_fract_x
_atom_site_fract_y
_atom_site_fract_z
_atom_site_occupancy
Sm1 Sm 0.0825 0.0000 0.2741 1
Er1 Er 0.0489 0.5000 0.3124 1
Er2 Er 0.1895 0.2007 0.7177 1
Zn1 Zn 0.2363 0.0000 0.0689 1
```

Calculated values
- Final energy: -3.878 eV per atom
- Crystal system: monoclinic
- DFT formation energy: 0.059 eV/atom



[10]
MgP: relaxed, PBE.

The structure in CIF format:
```
data_MgP
_cell_length_a 4.0842
_cell_length_b 4.0842
_cell_length_c 15.8374
_cell_angle_alpha 90.00
_cell_angle_beta 90.00
_cell_angle_gamma 120.00
_space_group_name_H-M_alt 'R 3 m'
_space_group_IT_number 160
_space_group_name_Hall 'R 3 -2"'
loop_
_atom_site_label
_atom_site_type_symbol
_atom_site_fract_x
_atom_site_fract_y
_atom_site_fract_z
_atom_site_occupancy
Mg1 Mg 0.0000 0.0000 0.0000 1
Mg2 Mg 0.0000 0.0000 0.1783 1
P1 P 0.0000 0.0000 0.4290 1
P2 P 0.0000 0.0000 0.5807 1
```

Calculated values
- Final energy: -3.904 eV per atom
- Polymorph energy (0 for the lowest one): 117.8 meV per atom
- Crystal system: trigonal
- DFT formation energy: -0.402 eV/atom



[11]
La7Tb12Tm: relaxed, PBE.

The structure in CIF format:
```
data_La7Tb12Tm
_cell_length_a 11.3965
_cell_length_b 11.3965
_cell_length_c 11.3965
_cell_angle_alpha 90.00
_cell_angle_beta 90.00
_cell_angle_gamma 90.00
_space_group_name_H-M_alt 'I m -3 m'
_space_group_IT_number 229
_space_group_name_Hall '-I 4 2 3'
loop_
_atom_site_label
_atom_site_type_symbol
_atom_site_fract_x
_atom_site_fract_y
_atom_site_fract_z
_atom_site_occupancy
La1 La 0.0000 0.0000 0.5000 1
La2 La 0.2500 0.2500 0.2500 1
Tb1 Tb 0.0000 0.2455 0.2455 1
Tm1 Tm 0.0000 0.0000 0.0000 1
```

Calculated values
- Final energy: -4.118 eV per atom
- Polymorph energy (0 for the lowest one): 390.1 meV per atom
- Crystal system: cubic
- DFT formation energy: 0.608 eV/atom



[12]
CaMgCdPb: relaxed, PBE.

The structure in CIF format:
```
data_CaMgCdPb
_cell_length_a 7.4998
_cell_length_b 7.4998
_cell_length_c 7.4998
_cell_angle_alpha 90.00
_cell_angle_beta 90.00
_cell_angle_gamma 90.00
_space_group_name_H-M_alt 'F -4 3 m'
_space_group_IT_number 216
_space_group_name_Hall 'F -4 2 3'
loop_
_atom_site_label
_atom_site_type_symbol
_atom_site_fract_x
_atom_site_fract_y
_atom_site_fract_z
_atom_site_occupancy
Ca1 Ca 0.0000 0.0000 0.0000 1
Mg1 Mg 0.0000 0.0000 0.5000 1
Cd1 Cd 0.2500 0.2500 0.7500 1
Pb1 Pb 0.2500 0.2500 0.2500 1
```

Calculated values
- Final energy: -2.364 eV per atom
- Crystal system: cubic
- DFT formation energy: -0.309 eV/atom



[13]
ZrReSCl2: relaxed, PBE.

The structure in CIF format:
```
data_ZrReSCl2
_cell_length_a 4.8889
_cell_length_b 4.8889
_cell_length_c 4.4947
_cell_angle_alpha 90.00
_cell_angle_beta 90.00
_cell_angle_gamma 90.00
_space_group_name_H-M_alt 'P 4/m m m'
_space_group_IT_number 123
_space_group_name_Hall '-P 4 2'
loop_
_atom_site_label
_atom_site_type_symbol
_atom_site_fract_x
_atom_site_fract_y
_atom_site_fract_z
_atom_site_occupancy
Zr1 Zr 0.0000 0.0000 0.0000 1
Re1 Re 0.5000 0.5000 0.5000 1
S1 S 0.5000 0.5000 0.0000 1
Cl1 Cl 0.0000 0.5000 0.5000 1
```

Calculated values
- Final energy: -5.295 eV per atom
- Polymorph energy (0 for the lowest one): 194.5 meV per atom
- Crystal system: tetragonal



[14]
NbCdPdPt: relaxed, PBE.

The structure in CIF format:
```
data_NbCdPdPt
_cell_length_a 6.5051
_cell_length_b 6.5051
_cell_length_c 6.5051
_cell_angle_alpha 90.00
_cell_angle_beta 90.00
_cell_angle_gamma 90.00
_space_group_name_H-M_alt 'F -4 3 m'
_space_group_IT_number 216
_space_group_name_Hall 'F -4 2 3'
loop_
_atom_site_label
_atom_site_type_symbol
_atom_site_fract_x
_atom_site_fract_y
_atom_site_fract_z
_atom_site_occupancy
Nb1 Nb 0.0000 0.0000 0.0000 1
Cd1 Cd 0.0000 0.0000 0.5000 1
Pd1 Pd 0.2500 0.2500 0.7500 1
Pt1 Pt 0.2500 0.2500 0.2500 1
```

Calculated values
- Final energy: -5.853 eV per atom
- Crystal system: cubic
- DFT formation energy: -0.299 eV/atom



[15]
NdPuTeS: relaxed, PBE.

The structure in CIF format:
```
data_NdPuTeS
_cell_length_a 4.1701
_cell_length_b 4.1701
_cell_length_c 21.4157
_cell_angle_alpha 90.00
_cell_angle_beta 90.00
_cell_angle_gamma 120.00
_space_group_name_H-M_alt 'R 3 m'
_space_group_IT_number 160
_space_group_name_Hall 'R 3 -2"'
loop_
_atom_site_label
_atom_site_type_symbol
_atom_site_fract_x
_atom_site_fract_y
_atom_site_fract_z
_atom_site_occupancy
Nd1 Nd 0.0000 0.0000 0.0000 1
Pu1 Pu 0.0000 0.0000 0.5247 1
Te1 Te 0.0000 0.0000 0.7642 1
S1 S 0.0000 0.0000 0.2591 1
```

Calculated values
- Final energy: -8.166 eV per atom
- Crystal system: trigonal



[16]
SnHgAu: relaxed, PBE.

The structure in CIF format:
```
data_SnHgAu
_cell_length_a 7.9794
_cell_length_b 4.6896
_cell_length_c 8.4156
_cell_angle_alpha 90.00
_cell_angle_beta 106.90
_cell_angle_gamma 90.00
_space_group_name_H-M_alt 'C 1 2/m 1'
_space_group_IT_number 12
_space_group_name_Hall '-C 2y'
loop_
_atom_site_label
_atom_site_type_symbol
_atom_site_fract_x
_atom_site_fract_y
_atom_site_fract_z
_atom_site_occupancy
Sn1 Sn 0.2407 0.0000 0.2259 1
Hg1 Hg 0.0000 0.0000 0.5000 1
Hg2 Hg 0.9998 0.4998 0.9999 1
Au1 Au 0.1193 0.5000 0.3630 1
```

Calculated values
- Final energy: -2.517 eV per atom
- Crystal system: monoclinic
- DFT formation energy: 0.010 eV/atom



[17]
Co2GeAs: relaxed, PBE.

The structure in CIF format:
```
data_Co2GeAs
_cell_length_a 5.3035
_cell_length_b 5.3035
_cell_length_c 10.2916
_cell_angle_alpha 90.00
_cell_angle_beta 90.00
_cell_angle_gamma 90.00
_space_group_name_H-M_alt 'I -4 2 d'
_space_group_IT_number 122
_space_group_name_Hall 'I -4 2bw'
loop_
_atom_site_label
_atom_site_type_symbol
_atom_site_fract_x
_atom_site_fract_y
_atom_site_fract_z
_atom_site_occupancy
Co1 Co 0.2428 0.2500 0.1250 1
Ge1 Ge 0.0000 0.0000 0.5000 1
As1 As 0.0000 0.0000 0.0000 1
```

Calculated values
- Final energy: -5.589 eV per atom
- Polymorph energy (0 for the lowest one): 583.9 meV per atom
- Crystal system: tetragonal
- DFT formation energy: 0.281 eV/atom



[18]
SrSc2Cr: relaxed, PBE.

The structure in CIF format:
```
data_SrSc2Cr
_cell_length_a 3.6847
_cell_length_b 3.6847
_cell_length_c 8.1399
_cell_angle_alpha 90.00
_cell_angle_beta 90.00
_cell_angle_gamma 90.00
_space_group_name_H-M_alt 'P 4 m m'
_space_group_IT_number 99
_space_group_name_Hall 'P 4 -2'
loop_
_atom_site_label
_atom_site_type_symbol
_atom_site_fract_x
_atom_site_fract_y
_atom_site_fract_z
_atom_site_occupancy
Sr1 Sr 0.0000 0.0000 0.0000 1
Sc1 Sc 0.0000 0.0000 0.4317 1
Sc2 Sc 0.5000 0.5000 0.6560 1
Cr1 Cr 0.5000 0.5000 0.2890 1
```

Calculated values
- Final energy: -5.602 eV per atom
- Polymorph energy (0 for the lowest one): 93.8 meV per atom
- Crystal system: tetragonal
- DFT formation energy: 0.390 eV/atom



[19]
HfMg6BO7: relaxed, PBE.

The structure in CIF format:
```
data_HfMg6BO7
_cell_length_a 4.3171
_cell_length_b 4.3171
_cell_length_c 8.8434
_cell_angle_alpha 90.00
_cell_angle_beta 90.00
_cell_angle_gamma 90.00
_space_group_name_H-M_alt 'P 4 m m'
_space_group_IT_number 99
_space_group_name_Hall 'P 4 -2'
loop_
_atom_site_label
_atom_site_type_symbol
_atom_site_fract_x
_atom_site_fract_y
_atom_site_fract_z
_atom_site_occupancy
Hf1 Hf 0.0000 0.0000 0.0000 1
Mg1 Mg 0.0000 0.0000 0.5014 1
Mg2 Mg 0.0000 0.5000 0.2571 1
Mg3 Mg 0.0000 0.5000 0.7486 1
Mg4 Mg 0.5000 0.5000 0.5032 1
B1 B 0.5000 0.5000 0.2173 1
O1 O 0.0000 0.0000 0.2405 1
O2 O 0.0000 0.0000 0.7555 1
O3 O 0.0000 0.5000 0.4980 1
O4 O 0.0000 0.5000 0.9880 1
O5 O 0.5000 0.5000 0.7265 1
```

Calculated values
- Final energy: -6.131 eV per atom
- Polymorph energy (0 for the lowest one): 0.0 meV per atom
- Crystal system: tetragonal



[20]
TlPdSe: relaxed, PBE.

The structure in CIF format:
```
data_TlPdSe
_cell_length_a 3.4821
_cell_length_b 3.4821
_cell_length_c 11.9404
_cell_angle_alpha 90.00
_cell_angle_beta 90.00
_cell_angle_gamma 90.00
_space_group_name_H-M_alt 'I 4 m m'
_space_group_IT_number 107
_space_group_name_Hall 'I 4 -2'
loop_
_atom_site_label
_atom_site_type_symbol
_atom_site_fract_x
_atom_site_fract_y
_atom_site_fract_z
_atom_site_occupancy
Tl1 Tl 0.0000 0.0000 0.0000 1
Pd1 Pd 0.0000 0.0000 0.2895 1
Se1 Se 0.0000 0.0000 0.7281 1
```

Calculated values
- Final energy: -3.839 eV per atom
- Crystal system: tetragonal